# 1
# CoI2F, optimized geometry, DFT GGA+U
data_CoI2F
_chemical_formula_sum 'Co4 I8 F4'
_cell_length_a 6.772
_cell_length_b 6.772
_cell_length_c 10.517
_cell_angle_alpha 90.00
_cell_angle_beta 90.00
_cell_angle_gamma 90.00
_symmetry_space_group_name_H-M 'I -4 2 d'
_symmetry_Int_Tables_number 122
_symmetry_space_group_name_Hall 'I -4 2bw'
loop_
_atom_site_label
_atom_site_fract_x
_atom_site_fract_y
_atom_site_fract_z
Co1 0.000 0.000 0.000
I1 0.220 0.250 0.125
F1 0.000 0.000 0.500
# * VASP energy: -2.716 eV per atom
# * total moment: 0.50 μB/atom
# * N(E_F): 0.692 states/eV per atom


# 2
# CoI2F, optimized geometry, DFT GGA+U
data_CoI2F
_chemical_formula_sum 'Co4 I8 F4'
_cell_length_a 6.895
_cell_length_b 6.895
_cell_length_c 6.895
_cell_angle_alpha 90.00
_cell_angle_beta 90.00
_cell_angle_gamma 90.00
_symmetry_space_group_name_H-M 'F m -3 m'
_symmetry_Int_Tables_number 225
_symmetry_space_group_name_Hall '-F 4 2 3'
loop_
_atom_site_label
_atom_site_fract_x
_atom_site_fract_y
_atom_site_fract_z
Co1 0.000 0.000 0.000
I1 0.250 0.250 0.250
F1 0.000 0.000 0.500
# * VASP energy: -2.605 eV per atom
# * total moment: 0.59 μB/atom
# * N(E_F): 0.606 states/eV per atom


# 3
# CoI3F, optimized geometry, DFT GGA+U
data_CoI3F
_chemical_formula_sum 'Co1 I3 F1'
_cell_length_a 5.281
_cell_length_b 5.281
_cell_length_c 5.281
_cell_angle_alpha 90.00
_cell_angle_beta 90.00
_cell_angle_gamma 90.00
_symmetry_space_group_name_H-M 'P m -3 m'
_symmetry_Int_Tables_number 221
_symmetry_space_group_name_Hall '-P 4 2 3'
loop_
_atom_site_label
_atom_site_fract_x
_atom_site_fract_y
_atom_site_fract_z
Co1 0.000 0.000 0.000
I1 0.000 0.500 0.500
F1 0.500 0.500 0.500
# * VASP energy: -1.437 eV per atom
# * total moment: 0.56 μB/atom
# * N(E_F): 3.154 states/eV per atom


# 4
# Co3IF, optimized geometry, DFT GGA+U
data_Co3IF
_chemical_formula_sum 'Co3 I1 F1'
_cell_length_a 4.739
_cell_length_b 4.739
_cell_length_c 4.739
_cell_angle_alpha 90.00
_cell_angle_beta 90.00
_cell_angle_gamma 90.00
_symmetry_space_group_name_H-M 'P m -3 m'
_symmetry_Int_Tables_number 221
_symmetry_space_group_name_Hall '-P 4 2 3'
loop_
_atom_site_label
_atom_site_fract_x
_atom_site_fract_y
_atom_site_fract_z
Co1 0.000 0.000 0.500
I1 0.000 0.000 0.000
F1 0.500 0.500 0.500
# * VASP energy: -2.680 eV per atom
# * total moment: 1.00 μB/atom
# * N(E_F): 0.611 states/eV per atom


# 5
# CoI3F, optimized geometry, DFT GGA+U
data_CoI3F
_chemical_formula_sum 'Co1 I3 F1'
_cell_length_a 5.251
_cell_length_b 5.251
_cell_length_c 5.251
_cell_angle_alpha 90.00
_cell_angle_beta 90.00
_cell_angle_gamma 90.00
_symmetry_space_group_name_H-M 'P m -3 m'
_symmetry_Int_Tables_number 221
_symmetry_space_group_name_Hall '-P 4 2 3'
loop_
_atom_site_label
_atom_site_fract_x
_atom_site_fract_y
_atom_site_fract_z
Co1 0.000 0.000 0.000
I1 0.000 0.000 0.500
F1 0.500 0.500 0.500
# * VASP energy: -2.027 eV per atom
# * total moment: 0.68 μB/atom
# * N(E_F): 1.562 states/eV per atom


# 6
# Co3IF, optimized geometry, DFT GGA+U
data_Co3IF
_chemical_formula_sum 'Co3 I1 F1'
_cell_length_a 4.371
_cell_length_b 4.371
_cell_length_c 4.371
_cell_angle_alpha 90.00
_cell_angle_beta 90.00
_cell_angle_gamma 90.00
_symmetry_space_group_name_H-M 'P m -3 m'
_symmetry_Int_Tables_number 221
_symmetry_space_group_name_Hall '-P 4 2 3'
loop_
_atom_site_label
_atom_site_fract_x
_atom_site_fract_y
_atom_site_fract_z
Co1 0.000 0.000 0.500
I1 0.500 0.500 0.500
F1 0.000 0.000 0.000
# * VASP energy: -3.482 eV per atom
# * total moment: 1.18 μB/atom
# * N(E_F): 0.551 states/eV per atom


# 7
# Co2IF2, optimized geometry, DFT GGA+U
data_Co2IF2
_chemical_formula_sum 'Co4 I2 F4'
_cell_length_a 8.032
_cell_length_b 8.032
_cell_length_c 3.616
_cell_angle_alpha 90.00
_cell_angle_beta 90.00
_cell_angle_gamma 90.00
_symmetry_space_group_name_H-M 'P 4/m b m'
_symmetry_Int_Tables_number 127
_symmetry_space_group_name_Hall '-P 4 2ab'
loop_
_atom_site_label
_atom_site_fract_x
_atom_site_fract_y
_atom_site_fract_z
Co1 0.178 0.322 0.000
I1 0.000 0.000 0.500
F1 0.124 0.376 0.500
# * VASP energy: -3.685 eV per atom
# * total moment: 1.00 μB/atom
# * N(E_F): 0.715 states/eV per atom


# 8
# Co2IF2, optimized geometry, DFT GGA+U
data_Co2IF2
_chemical_formula_sum 'Co4 I2 F4'
_cell_length_a 4.191
_cell_length_b 4.191
_cell_length_c 9.824
_cell_angle_alpha 90.00
_cell_angle_beta 90.00
_cell_angle_gamma 90.00
_symmetry_space_group_name_H-M 'I 4/m m m'
_symmetry_Int_Tables_number 139
_symmetry_space_group_name_Hall '-I 4 2'
loop_
_atom_site_label
_atom_site_fract_x
_atom_site_fract_y
_atom_site_fract_z
Co1 0.000 0.500 0.250
I1 0.000 0.000 0.000
F1 0.000 0.000 0.309
# * VASP energy: -3.867 eV per atom
# * total moment: 1.00 μB/atom
# * N(E_F): 1.035 states/eV per atom


# 9
# InCoI2F, optimized geometry, DFT GGA+U
data_InCoI2F
_chemical_formula_sum 'In1 Co1 I2 F1'
_cell_length_a 5.987
_cell_length_b 5.987
_cell_length_c 4.366
_cell_angle_alpha 90.00
_cell_angle_beta 90.00
_cell_angle_gamma 90.00
_symmetry_space_group_name_H-M 'P 4/m m m'
_symmetry_Int_Tables_number 123
_symmetry_space_group_name_Hall '-P 4 2'
loop_
_atom_site_label
_atom_site_fract_x
_atom_site_fract_y
_atom_site_fract_z
In1 0.000 0.000 0.000
Co1 0.500 0.500 0.500
I1 0.000 0.500 0.000
F1 0.000 0.000 0.500
# * VASP energy: -2.766 eV per atom
# * total moment: 0.66 μB/atom
# * N(E_F): 1.197 states/eV per atom


# 10
# KCoIF2, optimized geometry, DFT GGA+U
data_KCoIF2
_chemical_formula_sum 'K4 Co4 I4 F8'
_cell_length_a 4.190
_cell_length_b 13.132
_cell_length_c 7.895
_cell_angle_alpha 90.00
_cell_angle_beta 90.00
_cell_angle_gamma 90.00
_symmetry_space_group_name_H-M 'C m c m'
_symmetry_Int_Tables_number 63
_symmetry_space_group_name_Hall '-C 2c 2'
loop_
_atom_site_label
_atom_site_fract_x
_atom_site_fract_y
_atom_site_fract_z
K1 0.000 0.220 0.250
Co1 0.000 0.500 0.000
I1 0.000 0.050 0.750
F1 0.000 0.358 0.550
# * VASP energy: -4.077 eV per atom
# * total moment: 0.60 μB/atom
# * N(E_F): 0.000 states/eV per atom


# 11
# LiCoIF2, optimized geometry, DFT GGA+U
data_LiCoIF2
_chemical_formula_sum 'Li1 Co1 I1 F2'
_cell_length_a 3.868
_cell_length_b 3.868
_cell_length_c 7.617
_cell_angle_alpha 90.00
_cell_angle_beta 90.00
_cell_angle_gamma 90.00
_symmetry_space_group_name_H-M 'P 4/m m m'
_symmetry_Int_Tables_number 123
_symmetry_space_group_name_Hall '-P 4 2'
loop_
_atom_site_label
_atom_site_fract_x
_atom_site_fract_y
_atom_site_fract_z
Li1 0.000 0.000 0.000
Co1 0.000 0.000 0.500
I1 0.500 0.500 0.000
F1 0.000 0.500 0.500
# * VASP energy: -3.573 eV per atom
# * total moment: 0.20 μB/atom
# * N(E_F): 0.412 states/eV per atom


# 12
# MgCoI2F, optimized geometry, DFT GGA+U
data_MgCoI2F
_chemical_formula_sum 'Mg1 Co1 I2 F1'
_cell_length_a 5.470
_cell_length_b 5.470
_cell_length_c 5.374
_cell_angle_alpha 90.00
_cell_angle_beta 90.00
_cell_angle_gamma 90.00
_symmetry_space_group_name_H-M 'P 4/m m m'
_symmetry_Int_Tables_number 123
_symmetry_space_group_name_Hall '-P 4 2'
loop_
_atom_site_label
_atom_site_fract_x
_atom_site_fract_y
_atom_site_fract_z
Mg1 0.000 0.000 0.000
Co1 0.000 0.000 0.500
I1 0.000 0.500 0.000
F1 0.500 0.500 0.500
# * VASP energy: -2.089 eV per atom
# * total moment: 0.54 μB/atom
# * N(E_F): 1.489 states/eV per atom


# 13
# CoMoIF2, optimized geometry, DFT GGA+U
data_CoMoIF2
_chemical_formula_sum 'Co1 Mo1 I1 F2'
_cell_length_a 4.194
_cell_length_b 4.194
_cell_length_c 6.853
_cell_angle_alpha 90.00
_cell_angle_beta 90.00
_cell_angle_gamma 90.00
_symmetry_space_group_name_H-M 'P 4/m m m'
_symmetry_Int_Tables_number 123
_symmetry_space_group_name_Hall '-P 4 2'
loop_
_atom_site_label
_atom_site_fract_x
_atom_site_fract_y
_atom_site_fract_z
Co1 0.000 0.000 0.000
Mo1 0.500 0.500 0.500
I1 0.500 0.500 0.000
F1 0.000 0.500 0.500
# * VASP energy: -4.459 eV per atom
# * total moment: 1.20 μB/atom
# * N(E_F): 0.154 states/eV per atom


# 14
# CoMoIF2, optimized geometry, DFT GGA+U
data_CoMoIF2
_chemical_formula_sum 'Co1 Mo1 I1 F2'
_cell_length_a 4.083
_cell_length_b 4.083
_cell_length_c 6.563
_cell_angle_alpha 90.00
_cell_angle_beta 90.00
_cell_angle_gamma 90.00
_symmetry_space_group_name_H-M 'P 4/m m m'
_symmetry_Int_Tables_number 123
_symmetry_space_group_name_Hall '-P 4 2'
loop_
_atom_site_label
_atom_site_fract_x
_atom_site_fract_y
_atom_site_fract_z
Co1 0.000 0.000 0.000
Mo1 0.000 0.000 0.500
I1 0.500 0.500 0.500
F1 0.000 0.500 0.000
# * VASP energy: -4.217 eV per atom
# * total moment: 1.54 μB/atom
# * N(E_F): 0.689 states/eV per atom


# 15
# CoMoI2F, optimized geometry, DFT GGA+U
data_CoMoI2F
_chemical_formula_sum 'Co1 Mo1 I2 F1'
_cell_length_a 6.045
_cell_length_b 6.045
_cell_length_c 4.102
_cell_angle_alpha 90.00
_cell_angle_beta 90.00
_cell_angle_gamma 90.00
_symmetry_space_group_name_H-M 'P 4/m m m'
_symmetry_Int_Tables_number 123
_symmetry_space_group_name_Hall '-P 4 2'
loop_
_atom_site_label
_atom_site_fract_x
_atom_site_fract_y
_atom_site_fract_z
Co1 0.000 0.000 0.000
Mo1 0.500 0.500 0.000
I1 0.000 0.500 0.500
F1 0.500 0.500 0.500
# * VASP energy: -3.323 eV per atom
# * total moment: 1.21 μB/atom
# * N(E_F): 0.280 states/eV per atom


# 16
# CoI2NF, optimized geometry, DFT GGA+U
data_CoI2NF
_chemical_formula_sum 'Co1 I2 N1 F1'
_cell_length_a 5.348
_cell_length_b 5.348
_cell_length_c 3.363
_cell_angle_alpha 90.00
_cell_angle_beta 90.00
_cell_angle_gamma 90.00
_symmetry_space_group_name_H-M 'P 4/m m m'
_symmetry_Int_Tables_number 123
_symmetry_space_group_name_Hall '-P 4 2'
loop_
_atom_site_label
_atom_site_fract_x
_atom_site_fract_y
_atom_site_fract_z
Co1 0.000 0.000 0.000
I1 0.000 0.500 0.000
N1 0.000 0.000 0.500
F1 0.500 0.500 0.500
# * VASP energy: -3.203 eV per atom
# * total moment: 0.00 μB/atom
# * N(E_F): 1.616 states/eV per atom


# 17
# CoI2NF, optimized geometry, DFT GGA+U
data_CoI2NF
_chemical_formula_sum 'Co1 I2 N1 F1'
_cell_length_a 5.563
_cell_length_b 5.563
_cell_length_c 3.787
_cell_angle_alpha 90.00
_cell_angle_beta 90.00
_cell_angle_gamma 90.00
_symmetry_space_group_name_H-M 'P 4/m m m'
_symmetry_Int_Tables_number 123
_symmetry_space_group_name_Hall '-P 4 2'
loop_
_atom_site_label
_atom_site_fract_x
_atom_site_fract_y
_atom_site_fract_z
Co1 0.000 0.000 0.000
I1 0.000 0.500 0.500
N1 0.500 0.500 0.000
F1 0.500 0.500 0.500
# * VASP energy: -1.838 eV per atom
# * total moment: 0.27 μB/atom
# * N(E_F): 2.491 states/eV per atom


# 18
# CoIO2F, optimized geometry, DFT GGA+U
data_CoIO2F
_chemical_formula_sum 'Co1 I1 O2 F1'
_cell_length_a 4.024
_cell_length_b 4.024
_cell_length_c 5.345
_cell_angle_alpha 90.00
_cell_angle_beta 90.00
_cell_angle_gamma 90.00
_symmetry_space_group_name_H-M 'P 4/m m m'
_symmetry_Int_Tables_number 123
_symmetry_space_group_name_Hall '-P 4 2'
loop_
_atom_site_label
_atom_site_fract_x
_atom_site_fract_y
_atom_site_fract_z
Co1 0.000 0.000 0.000
I1 0.500 0.500 0.500
O1 0.000 0.500 0.500
F1 0.500 0.500 0.000
# * VASP energy: -3.621 eV per atom
# * total moment: 0.41 μB/atom
# * N(E_F): 0.621 states/eV per atom


# 19
# CoIO2F, optimized geometry, DFT GGA+U
data_CoIO2F
_chemical_formula_sum 'Co1 I1 O2 F1'
_cell_length_a 4.389
_cell_length_b 4.389
_cell_length_c 4.190
_cell_angle_alpha 90.00
_cell_angle_beta 90.00
_cell_angle_gamma 90.00
_symmetry_space_group_name_H-M 'P 4/m m m'
_symmetry_Int_Tables_number 123
_symmetry_space_group_name_Hall '-P 4 2'
loop_
_atom_site_label
_atom_site_fract_x
_atom_site_fract_y
_atom_site_fract_z
Co1 0.000 0.000 0.000
I1 0.500 0.500 0.000
O1 0.000 0.500 0.500
F1 0.500 0.500 0.500
# * VASP energy: -2.797 eV per atom
# * total moment: 1.05 μB/atom
# * N(E_F): 0.476 states/eV per atom


# 20
# CoIO2F, optimized geometry, DFT GGA+U
data_CoIO2F
_chemical_formula_sum 'Co1 I1 O2 F1'
_cell_length_a 3.987
_cell_length_b 3.987
_cell_length_c 4.003
_cell_angle_alpha 90.00
_cell_angle_beta 90.00
_cell_angle_gamma 90.00
_symmetry_space_group_name_H-M 'P 4/m m m'
_symmetry_Int_Tables_number 123
_symmetry_space_group_name_Hall '-P 4 2'
loop_
_atom_site_label
_atom_site_fract_x
_atom_site_fract_y
_atom_site_fract_z
Co1 0.000 0.000 0.000
I1 0.500 0.500 0.500
O1 0.000 0.500 0.000
F1 0.000 0.000 0.500
# * VASP energy: -4.031 eV per atom
# * total moment: 0.58 μB/atom
# * N(E_F): 0.436 states/eV per atom